# ScMnSe2 | Alexandria | PBE | optimized geometry
# DOS(E_F) = 7.25 states/eV/cell
# Raw formation energy = -0.669 eV per atom
# V = 17.4 Å³/atom
data_ScMnSe2
_cell_length_a 3.8318
_cell_length_b 3.8318
_cell_length_c 16.3768
_cell_angle_alpha 90.00
_cell_angle_beta 90.00
_cell_angle_gamma 120.00
_space_group_name_H-M_alt 'R -3 m'
_space_group_IT_number 166
_space_group_name_Hall '-R 3 2"'
loop_
_atom_site_label
_atom_site_fract_x
_atom_site_fract_y
_atom_site_fract_z
Sc1 0.0000 0.0000 0.0000
Mn1 0.0000 0.0000 0.5000
Se1 0.0000 0.0000 0.2363